1.
Below is a relaxed Nd2Y4Er2Th crystal, with properties calculated at the GGA-PBE level.

Unit cell a=18.790 b=3.615 c=9.580 alpha=90.00 beta=115.80 gamma=90.00
Space group C2/m (No. 12)
Symmetry-distinct sites (fractional):
Nd 0.164 0.000 0.000
Y 0.018 0.000 0.331
Y 0.185 0.500 0.334
Er 0.147 0.500 0.663
Th 0.000 0.500 0.000

Properties
Energy relative to the elements, eV/atom: 0.0013
Density, kg/m3: 6864
M_tot, μB per atom: 0.000
Volume, A^3/atom: 32.5

2.
Below is a relaxed Zr2ReIr crystal, with properties calculated at the GGA-PBE level.

Unit cell a=6.546 b=6.546 c=6.546 alpha=90.00 beta=90.00 gamma=90.00
Space group F-43m (No. 216)
Symmetry-distinct sites (fractional):
Zr 0.000 0.000 0.000
Zr 0.250 0.250 0.250
Re 0.000 0.000 0.500
Ir 0.250 0.250 0.750

Properties
Energy relative to the elements, eV/atom: -0.1753
Density, kg/m3: 13280
M_tot, μB per atom: 0.000
Volume, A^3/atom: 17.5

3.
Below is a relaxed K2MoSe crystal, with properties calculated at the GGA-PBE level.

Unit cell a=8.112 b=8.112 c=8.112 alpha=90.00 beta=90.00 gamma=90.00
Space group Fm-3m (No. 225)
Symmetry-distinct sites (fractional):
K 0.250 0.250 0.250
Mo 0.000 0.000 0.000
Se 0.000 0.000 0.500

Properties
Energy relative to the elements, uncorrected, eV per atom: 0.66
Excess energy over the best structure of this formula in the dataset, eV per atom: 0.424
Density, kg/m3: 3149
M_tot, μB per atom: 1.486
Volume, A^3/atom: 33.4

4.
Below is a relaxed TcPtC2F crystal, with properties calculated at the GGA-PBE level.

Unit cell a=3.960 b=3.960 c=4.351 alpha=90.00 beta=90.00 gamma=90.00
Space group P4/mmm (No. 123)
Symmetry-distinct sites (fractional):
Tc 0.000 0.000 0.000
Pt 0.500 0.500 0.500
C 0.000 0.500 0.500
F 0.500 0.500 0.000

Properties
Energy relative to the elements, uncorrected, eV per atom: 1.66
Density, kg/m3: 8181
M_tot, μB per atom: 0.530
Volume, A^3/atom: 13.6

5.
Below is a relaxed Si3Te5Au12 crystal, with properties calculated at the GGA-PBE level.

Unit cell a=15.693 b=15.693 c=15.693 alpha=90.00 beta=90.00 gamma=90.00
Space group Ia-3d (No. 230)
Symmetry-distinct sites (fractional):
Si 0.000 0.250 0.125
Te 0.000 0.000 0.000
Te 0.000 0.250 0.375
Au 0.024 0.099 0.650

Properties
Energy relative to the elements, uncorrected, eV per atom: 0.07
Density, kg/m3: 10607
M_tot, μB per atom: 0.000
Volume, A^3/atom: 24.2

6.
Below is a relaxed PuBeGaPt crystal, with properties calculated at the GGA-PBE level.

Unit cell a=4.0910 b=4.0910 c=15.4178 alpha=90.00 beta=90.00 gamma=120.00
Space group R3m (No. 160, hexagonal axes)
Symmetry-distinct sites (fractional):
Pu 0.0000 0.0000 0.0000
Be 0.0000 0.0000 0.4673
Ga 0.0000 0.0000 0.2025
Pt 0.0000 0.0000 0.7934

Properties
Energy relative to the elements, eV/atom: -0.4884
Density, kg/m3: 11544
M_tot, μB per atom: 1.417
Volume, A^3/atom: 18.6

7.
Below is a relaxed LuAgPd4 crystal, with properties calculated at the GGA-PBE level.

Unit cell a=7.511 b=7.511 c=7.511 alpha=90.00 beta=90.00 gamma=90.00
Space group F-43m (No. 216)
Symmetry-distinct sites (fractional):
Lu 0.000 0.000 0.000
Ag 0.250 0.250 0.250
Pd 0.125 0.125 0.625

Properties
Energy relative to the elements, eV/atom: -0.5092
Density, kg/m3: 11105
M_tot, μB per atom: 0.000
Volume, A^3/atom: 17.7

8.
Below is a relaxed InPt crystal, with properties calculated at the GGA-PBE level.

Unit cell a=4.4368 b=4.4368 c=14.6044 alpha=90.00 beta=90.00 gamma=120.00
Space group R-3m (No. 166, hexagonal axes)
Symmetry-distinct sites (fractional):
In 0.0000 0.0000 0.1054
Pt 0.0000 0.0000 0.2950

Properties
Energy relative to the elements, eV/atom: -0.3763
Density, kg/m3: 12401
M_tot, μB per atom: 0.000
Volume, A^3/atom: 20.7

9.
Below is a relaxed PrMg2Zn3 crystal, with properties calculated at the GGA-PBE level.

Unit cell a=10.296 b=8.245 c=6.088 alpha=90.00 beta=90.00 gamma=90.00
Space group Cmcm (No. 63)
Symmetry-distinct sites (fractional):
Pr 0.000 0.171 0.250
Mg 0.215 0.500 0.000
Zn 0.000 0.450 0.750
Zn 0.131 0.193 0.750

Properties
Energy relative to the elements, eV/atom: -0.1791
Density, kg/m3: 4958
M_tot, μB per atom: 0.000
Volume, A^3/atom: 21.5

10.
Below is a relaxed LaCdHPb2 crystal, with properties calculated at the GGA-PBE level.

Unit cell a=5.094 b=5.094 c=4.648 alpha=90.00 beta=90.00 gamma=90.00
Space group P4/mmm (No. 123)
Symmetry-distinct sites (fractional):
La 0.000 0.000 0.000
Cd 0.500 0.500 0.000
H 0.000 0.000 0.500
Pb 0.000 0.500 0.500

Properties
Density, kg/m3: 9180
M_tot, μB per atom: 0.000
Volume, A^3/atom: 24.1
Calculated total energy, eV per formula unit: -17.829

11.
Below is a relaxed LiTlS3 crystal, with properties calculated at the GGA-PBE level.

Unit cell a=5.156 b=5.156 c=5.156 alpha=90.00 beta=90.00 gamma=90.00
Space group Pm-3m (No. 221)
Symmetry-distinct sites (fractional):
Li 0.000 0.000 0.000
Tl 0.500 0.500 0.500
S 0.000 0.500 0.500

Properties
Energy relative to the elements, uncorrected, eV per atom: 0.37
Excess energy over the best structure of this formula in the dataset, eV per atom: 0.090
Density, kg/m3: 3726
M_tot, μB per atom: 0.000
Volume, A^3/atom: 27.4

12.
Below is a relaxed ReHg2W crystal, with properties calculated at the GGA-PBE level.

Unit cell a=3.176 b=4.643 c=4.893 alpha=90.00 beta=90.00 gamma=90.00
Space group Pmmm (No. 47)
Symmetry-distinct sites (fractional):
Re 0.000 0.000 0.000
Hg 0.000 0.500 0.500
Hg 0.500 0.000 0.500
W 0.500 0.500 0.000

Properties
Energy relative to the elements, eV/atom: 0.9312
Excess energy over the best structure of this formula in the dataset, eV per atom: 0.431
Density, kg/m3: 17752
M_tot, μB per atom: 0.000
Volume, A^3/atom: 18.0

13.
Below is a relaxed MgZrNbS2 crystal, with properties calculated at the GGA-PBE level.

Unit cell a=4.569 b=4.569 c=5.081 alpha=90.00 beta=90.00 gamma=90.00
Space group P4/mmm (No. 123)
Symmetry-distinct sites (fractional):
Mg 0.000 0.000 0.000
Zr 0.000 0.000 0.500
Nb 0.500 0.500 0.500
S 0.000 0.500 0.000

Properties
Energy relative to the elements, uncorrected, eV per atom: 0.86
Density, kg/m3: 4267
M_tot, μB per atom: 0.000
Volume, A^3/atom: 21.2

14.
Below is a relaxed DyTh6Bi8 crystal, with properties calculated at the GGA-PBE level.

Unit cell a=9.6252 b=9.6252 c=19.4242 alpha=90.00 beta=90.00 gamma=120.00
Space group R-3 (No. 148, hexagonal axes)
Symmetry-distinct sites (fractional):
Dy 0.0000 0.0000 0.0000
Th 0.0005 0.3844 0.9232
Bi 0.0000 0.0000 0.3311
Bi 0.0041 0.2743 0.0907

Properties
Energy relative to the elements, eV/atom: -0.5295
Density, kg/m3: 10314
M_tot, μB per atom: 0.001
Volume, A^3/atom: 34.6

15.
Below is a relaxed TaOsAu2 crystal, with properties calculated at the GGA-PBE level.

Unit cell a=2.838 b=2.838 c=8.339 alpha=90.00 beta=90.00 gamma=90.00
Space group P4/mmm (No. 123)
Symmetry-distinct sites (fractional):
Ta 0.000 0.000 0.000
Os 0.000 0.000 0.500
Au 0.500 0.500 0.253

Properties
Energy relative to the elements, eV/atom: 0.4113
Excess energy over the best structure of this formula in the dataset, eV per atom: 0.375
Density, kg/m3: 18918
M_tot, μB per atom: 0.002
Volume, A^3/atom: 16.8

16.
Below is a relaxed Cr2CCl crystal, with properties calculated at the GGA-PBE level.

Unit cell a=5.531 b=5.531 c=5.531 alpha=90.00 beta=90.00 gamma=90.00
Space group Fm-3m (No. 225)
Symmetry-distinct sites (fractional):
Cr 0.250 0.250 0.250
C 0.000 0.000 0.000
Cl 0.000 0.000 0.500

Properties
Energy relative to the elements, uncorrected, eV per atom: 0.95
Density, kg/m3: 5944
M_tot, μB per atom: 0.746
Volume, A^3/atom: 10.6

17.
Below is a relaxed CePm3Y3 crystal, with properties calculated at the GGA-PBE level.

Unit cell a=11.613 b=11.469 c=7.235 alpha=90.00 beta=90.02 gamma=90.00
Space group C2/m (No. 12)
Symmetry-distinct sites (fractional):
Ce 0.214 0.000 0.000
Pm 0.000 0.500 0.250
Pm 0.250 0.249 0.754
Y 0.000 0.212 0.500
Y 0.000 0.215 0.000
Y 0.219 0.000 0.500

Properties
Energy relative to the elements, eV/atom: 0.2232
Density, kg/m3: 5803
M_tot, μB per atom: 0.187
Volume, A^3/atom: 34.4

18.
Below is a relaxed KBa3Ta crystal, with properties calculated at the GGA-PBE level.

Unit cell a=6.207 b=6.207 c=6.207 alpha=90.00 beta=90.00 gamma=90.00
Space group Pm-3m (No. 221)
Symmetry-distinct sites (fractional):
K 0.000 0.000 0.000
Ba 0.000 0.000 0.500
Ta 0.500 0.500 0.500

Properties
Energy relative to the elements, eV/atom: 1.7566
Excess energy over the best structure of this formula in the dataset, eV per atom: 0.974
Density, kg/m3: 4388
M_tot, μB per atom: 0.124
Volume, A^3/atom: 47.8

19.
Below is a relaxed HfIn2TcSn crystal, with properties calculated at the GGA-PBE level.

Unit cell a=5.333 b=5.333 c=5.413 alpha=90.00 beta=90.00 gamma=90.00
Space group P4/mmm (No. 123)
Symmetry-distinct sites (fractional):
Hf 0.000 0.000 0.000
In 0.000 0.500 0.500
Tc 0.500 0.500 0.000
Sn 0.000 0.000 0.500

Properties
Energy relative to the elements, eV/atom: 1.5474
Density, kg/m3: 6738
M_tot, μB per atom: 0.595
Volume, A^3/atom: 30.8

20.
Below is a relaxed TbHo2Pd crystal, with properties calculated at the GGA-PBE level.

Unit cell a=3.7137 b=3.7137 c=28.5165 alpha=90.00 beta=90.00 gamma=120.00
Space group R3m (No. 160, hexagonal axes)
Symmetry-distinct sites (fractional):
Tb 0.0000 0.0000 0.0000
Ho 0.0000 0.0000 0.2331
Ho 0.0000 0.0000 0.4357
Pd 0.0000 0.0000 0.8346

Properties
Energy relative to the elements, eV/atom: -0.3055
Excess energy over the best structure of this formula in the dataset, eV per atom: 0.172
Density, kg/m3: 8706
M_tot, μB per atom: 0.010
Volume, A^3/atom: 28.4

21.
Below is a relaxed CoRu2Se crystal, with properties calculated at the GGA-PBE level.

Unit cell a=8.817 b=2.875 c=4.419 alpha=90.00 beta=93.04 gamma=90.00
Space group Cm (No. 8)
Symmetry-distinct sites (fractional):
Co 0.000 0.000 0.000
Ru 0.037 0.500 0.525
Ru 0.269 0.000 0.764
Se 0.269 0.500 0.226

Properties
Energy relative to the elements, uncorrected, eV per atom: 0.32
Density, kg/m3: 10097
M_tot, μB per atom: 0.171
Volume, A^3/atom: 14.0

22.
Below is a relaxed SrAs2WBr crystal, with properties calculated at the GGA-PBE level.

Unit cell a=5.748 b=5.748 c=5.511 alpha=90.00 beta=90.00 gamma=90.00
Space group P4/mmm (No. 123)
Symmetry-distinct sites (fractional):
Sr 0.000 0.000 0.000
As 0.000 0.500 0.000
W 0.500 0.500 0.500
Br 0.000 0.000 0.500

Properties
Energy relative to the elements, uncorrected, eV per atom: 1.51
Excess energy over the best structure of this formula in the dataset, eV per atom: 1.775
Density, kg/m3: 4572
M_tot, μB per atom: 0.512
Volume, A^3/atom: 36.4

23.
Below is a relaxed Sm3Al3Ag crystal, with properties calculated at the GGA-PBE level.

Unit cell a=3.718 b=4.601 c=20.100 alpha=90.00 beta=90.00 gamma=90.00
Space group Imm2 (No. 44)
Symmetry-distinct sites (fractional):
Sm 0.000 0.000 0.000
Sm 0.000 0.000 0.389
Sm 0.000 0.500 0.193
Al 0.000 0.000 0.557
Al 0.000 0.000 0.833
Al 0.000 0.500 0.629
Ag 0.000 0.500 0.761

Properties
Energy relative to the elements, eV/atom: -0.3641
Density, kg/m3: 6180
M_tot, μB per atom: 0.032
Volume, A^3/atom: 24.6